Below is crystalline NaSm4Mg5 at its relaxed geometry, with properties calculated at the PBE-GGA level.

Output
Total magnetization: 0.00 μB/cell
Calculated total energy: -2.866 eV per atom
ΔE_f: -0.05 eV per atom

Cell and atoms, written as CIF:
```
data_NaSm4Mg5
_space_group_name_H-M_alt 'P 4/m m m'
_space_group_IT_number 123
_space_group_name_Hall '-P 4 2'
_cell_length_a 3.8342
_cell_length_b 3.8342
_cell_length_c 19.5136
_cell_angle_alpha 90.00
_cell_angle_beta 90.00
_cell_angle_gamma 90.00
loop_
_atom_site_label
_atom_site_type_symbol
_atom_site_fract_x
_atom_site_fract_y
_atom_site_fract_z
Na1 Na 0.0000 0.0000 0.0000
Sm1 Sm 0.0000 0.0000 0.2056
Sm2 Sm 0.0000 0.0000 0.4013
Mg1 Mg 0.5000 0.5000 0.1041
Mg2 Mg 0.5000 0.5000 0.3028
Mg3 Mg 0.5000 0.5000 0.5000
```